--- a ---
This record from Alexandria via LeMat-Bulk describes a geometry-optimized BeCd3 structure. The functional is PBEsol.

Results
* crystal system: hexagonal
* Fermi-level density of states: 1.33 states/eV/f.u.

```
data_BeCd3
_symmetry_space_group_name_H-M 'P -6 m 2'
_symmetry_Int_Tables_number 187
_symmetry_space_group_name_Hall 'P -6 2'
_cell_length_a 3.0201
_cell_length_b 3.0201
_cell_length_c 8.8724
_cell_angle_alpha 90.00
_cell_angle_beta 90.00
_cell_angle_gamma 120.00
loop_
_atom_site_label
_atom_site_fract_x
_atom_site_fract_y
_atom_site_fract_z
Be1 0.0000 0.0000 0.0000
Cd1 0.0000 0.0000 0.5000
Cd2 0.3333 0.6667 0.2164
```


--- b ---
This record from Alexandria via LeMat-Bulk describes a geometry-optimized BeCd3 structure. The functional is PBEsol.

Results
* crystal system: orthorhombic
* Fermi-level density of states: 1.20 states/eV/f.u.

```
data_BeCd3
_symmetry_space_group_name_H-M 'C m m m'
_symmetry_Int_Tables_number 65
_symmetry_space_group_name_Hall '-C 2 2'
_cell_length_a 5.5694
_cell_length_b 7.8410
_cell_length_c 3.3219
_cell_angle_alpha 90.00
_cell_angle_beta 90.00
_cell_angle_gamma 90.00
loop_
_atom_site_label
_atom_site_fract_x
_atom_site_fract_y
_atom_site_fract_z
Be1 0.0000 0.0000 0.0000
Cd1 0.0000 0.5000 0.0000
Cd2 0.2500 0.2500 0.5000
```


a (77 meV per atom below the next structure)